Record 1
DFT (PBE-GGA) results for crystalline VZn2Au at its relaxed geometry.

Summary:
* ΔH_f (0 K): 0.33 eV per atom
* total magnetization: 1.1 Bohr magnetons per cell
* raw total energy: -13.638 eV per formula unit
* V: 66 Å³ per cell

```
VZn2Au
1.0
2.774 0.000 0.000
1.387 2.402 0.000
1.387 0.801 9.857
Au V Zn
1 1 2
direct
0.500 0.500 0.500
0.000 0.000 0.000
0.087 0.087 0.738
0.913 0.913 0.262
```

---

Record 2
DFT (PBE-GGA) results for crystalline V2ZnAu2 at its relaxed geometry.

Summary:
* ΔH_f (0 K): 0.24 eV per atom
* total magnetization: 9.2 Bohr magnetons per cell
* energy above the most stable polymorph in this dataset: 0 meV per atom
* raw total energy: -24.855 eV per formula unit
* V: 174 Å³ per cell

```
V2ZnAu2
1.0
7.271 0.000 0.000
0.000 7.271 0.000
0.000 0.000 3.295
V Zn Au
4 2 4
direct
0.353 0.147 0.500
0.147 0.647 0.500
0.853 0.353 0.500
0.647 0.853 0.500
0.500 0.500 0.000
0.000 0.000 0.000
0.350 0.850 0.000
0.150 0.350 0.000
0.850 0.650 0.000
0.650 0.150 0.000
```

---

Record 3
DFT (PBE-GGA) results for crystalline VZn2Au at its relaxed geometry.

Summary:
* ΔH_f (0 K): -0.03 eV per atom
* total magnetization: 0.9 Bohr magnetons per cell
* raw total energy: -15.058 eV per formula unit
* V: 246 Å³ per cell

```
VZn2Au
1.0
-4.562 -0.338 -1.545
1.935 -10.226 -3.478
1.803 -1.427 5.198
Zn V Au
8 4 4
direct
0.500 0.705 0.000
0.000 0.837 0.000
0.500 0.205 0.500
0.000 0.831 0.500
0.000 0.337 0.500
0.000 0.331 0.000
0.000 0.086 0.000
0.000 0.586 0.500
0.500 0.221 0.000
0.500 0.721 0.500
0.500 0.947 0.500
0.500 0.447 0.000
0.500 0.956 0.000
0.000 0.591 0.000
0.000 0.091 0.500
0.500 0.456 0.500
```

---

Record 4
DFT (PBE-GGA) results for crystalline VZn2Au at its relaxed geometry.

Summary:
* ΔH_f (0 K): -0.03 eV per atom
* total magnetization: 0.0 Bohr magnetons per cell
* raw total energy: -15.067 eV per formula unit
* V: 245 Å³ per cell

```
VZn2Au
1.0
4.608 0.000 -0.047
0.000 5.786 0.000
-2.795 0.000 9.228
Au Zn V
4 8 4
direct
0.741 0.591 0.144
0.259 0.591 0.856
0.259 0.091 0.356
0.741 0.091 0.644
0.761 0.836 0.880
0.729 0.580 0.633
0.239 0.836 0.120
0.239 0.336 0.620
0.271 0.580 0.367
0.761 0.336 0.380
0.271 0.080 0.867
0.729 0.080 0.133
0.799 0.331 0.910
0.799 0.831 0.410
0.201 0.331 0.090
0.201 0.831 0.590
```

---

Record 5
DFT (PBE-GGA) results for crystalline VZnAu6 at its relaxed geometry.

Summary:
* ΔH_f (0 K): -0.01 eV per atom
* total magnetization: 3.3 Bohr magnetons per cell
* raw total energy: -30.142 eV per formula unit
* V: 139 Å³ per cell

```
VZnAu6
1.0
4.132 0.000 0.000
0.000 4.132 0.000
0.000 0.000 8.157
Au V Zn
6 1 1
direct
0.500 0.500 0.000
0.500 0.000 0.250
0.500 0.000 0.750
0.000 0.500 0.750
0.500 0.500 0.500
0.000 0.500 0.250
0.000 0.000 0.500
0.000 0.000 0.000
```

---

Record 6
DFT (PBE-GGA) results for crystalline VZn2Au at its relaxed geometry.

Summary:
* ΔH_f (0 K): 0.04 eV per atom
* total magnetization: 1.9 Bohr magnetons per cell
* raw total energy: -14.781 eV per formula unit
* V: 62 Å³ per cell

```
VZn2Au
1.0
-2.784 -0.076 3.454
1.593 -0.350 4.126
-0.207 3.469 2.760
Zn Au V
2 1 1
direct
0.250 0.250 0.250
0.000 0.000 0.000
0.750 0.750 0.750
0.500 0.500 0.500
```

---

Record 7
DFT (PBE-GGA) results for crystalline V2Zn2Au at its relaxed geometry.

Summary:
* ΔH_f (0 K): 0.19 eV per atom
* total magnetization: 4.1 Bohr magnetons per cell
* energy above the most stable polymorph in this dataset: 0 meV per atom
* raw total energy: -23.103 eV per formula unit
* V: 150 Å³ per cell

```
V2Zn2Au
1.0
-2.247 4.901 -3.972
-0.552 -4.353 -5.059
-3.146 -0.686 0.934
Au V Zn
2 4 4
direct
0.500 0.500 0.000
0.000 0.000 0.000
0.168 0.668 0.500
0.832 0.332 0.500
0.332 0.168 0.500
0.668 0.832 0.500
0.129 0.371 0.000
0.871 0.629 0.000
0.629 0.129 0.000
0.371 0.871 0.000
```

---

Record 8
DFT (PBE-GGA) results for crystalline VZn3Au at its relaxed geometry.

Summary:
* ΔH_f (0 K): 0.65 eV per atom
* total magnetization: 3.9 Bohr magnetons per cell
* energy above the most stable polymorph in this dataset: 0 meV per atom
* raw total energy: -12.983 eV per formula unit
* V: 112 Å³ per cell

```
VZn3Au
1.0
4.823 0.000 0.000
0.000 4.823 0.000
0.000 0.000 4.823
Zn Au V
3 1 1
direct
0.500 0.000 0.000
0.000 0.000 0.500
0.000 0.500 0.000
0.000 0.000 0.000
0.500 0.500 0.500
```

---

Record 9
DFT (PBE-GGA) results for crystalline V2ZnAu2 at its relaxed geometry.

Summary:
* ΔH_f (0 K): 0.25 eV per atom
* total magnetization: 0.0 Bohr magnetons per cell
* energy above the most stable polymorph in this dataset: 6 meV per atom
* raw total energy: -24.826 eV per formula unit
* V: 170 Å³ per cell

```
V2ZnAu2
1.0
-6.516 -3.058 -1.142
2.611 -3.351 -5.923
0.860 -2.502 1.794
Au Zn V
4 2 4
direct
0.198 0.698 0.500
0.698 0.802 0.500
0.802 0.302 0.500
0.302 0.198 0.500
0.500 0.500 0.000
0.000 0.000 0.000
0.593 0.093 0.000
0.407 0.907 0.000
0.907 0.593 0.000
0.093 0.407 0.000
```

---

Record 10
DFT (PBE-GGA) results for crystalline ZrVAu at its relaxed geometry.

Summary:
* ΔH_f (0 K): 0.17 eV per atom
* total magnetization: 0.0 Bohr magnetons per cell
* energy above the most stable polymorph in this dataset: 310 meV per atom
* raw total energy: -20.446 eV per formula unit
* V: 218 Å³ per cell

```
ZrVAu
1.0
5.289 0.000 0.000
2.645 4.413 0.000
2.645 0.000 9.360
Au V Zr
4 4 4
direct
0.576 0.000 0.847
0.326 0.500 0.347
0.174 0.500 0.653
0.424 0.000 0.153
0.876 0.500 0.249
0.624 0.500 0.751
0.874 0.000 0.251
0.126 0.000 0.749
0.928 0.144 0.500
0.572 0.856 0.500
0.822 0.356 0.000
0.178 0.644 0.000
```

---

Record 11
DFT (PBE-GGA) results for crystalline ZrVAu at its relaxed geometry.

Summary:
* ΔH_f (0 K): -0.12 eV per atom
* total magnetization: 0.0 Bohr magnetons per cell
* energy above the most stable polymorph in this dataset: 23 meV per atom
* raw total energy: -21.308 eV per formula unit
* V: 214 Å³ per cell

```
ZrVAu
1.0
-5.366 0.283 2.426
-1.471 -2.678 -2.942
5.816 -6.838 3.317
V Zr Au
4 4 4
direct
0.378 0.500 0.192
0.622 0.500 0.808
0.622 0.000 0.308
0.378 0.000 0.692
0.500 0.500 0.500
0.500 0.000 0.000
0.000 0.500 0.500
0.000 0.000 0.000
0.156 0.000 0.339
0.844 0.500 0.161
0.844 0.000 0.661
0.156 0.500 0.839
```

---

Record 12
DFT (PBE-GGA) results for crystalline ZrV2Au at its relaxed geometry.

Summary:
* ΔH_f (0 K): 0.42 eV per atom
* total magnetization: 3.0 Bohr magnetons per cell
* energy above the most stable polymorph in this dataset: 273 meV per atom
* raw total energy: -28.384 eV per formula unit
* V: 146 Å³ per cell

```
ZrV2Au
1.0
3.875 0.000 0.000
0.000 3.875 0.000
1.938 1.938 9.753
V Zr Au
4 2 2
direct
0.131 0.625 0.250
0.619 0.125 0.250
0.875 0.869 0.750
0.375 0.381 0.750
0.500 0.500 0.000
0.250 0.750 0.500
0.000 0.000 0.000
0.750 0.250 0.500
```

---

Record 13
DFT (PBE-GGA) results for crystalline ZrV2Au at its relaxed geometry.

Summary:
* ΔH_f (0 K): 0.15 eV per atom
* total magnetization: 0.0 Bohr magnetons per cell
* energy above the most stable polymorph in this dataset: 0 meV per atom
* raw total energy: -29.474 eV per formula unit
* V: 66 Å³ per cell

```
ZrV2Au
1.0
0.000 3.203 3.203
3.203 0.000 3.203
3.203 3.203 0.000
V Zr Au
2 1 1
direct
0.250 0.250 0.250
0.750 0.750 0.750
0.000 0.000 0.000
0.500 0.500 0.500
```

---

Record 14
DFT (PBE-GGA) results for crystalline Zr3VAu at its relaxed geometry.

Summary:
* ΔH_f (0 K): 0.95 eV per atom
* total magnetization: 3.9 Bohr magnetons per cell
* energy above the most stable polymorph in this dataset: 428 meV per atom
* raw total energy: -33.270 eV per formula unit
* V: 138 Å³ per cell

```
Zr3VAu
1.0
-3.144 1.284 -3.890
-2.352 -4.580 0.389
-3.354 2.008 3.373
Zr Au V
3 1 1
direct
0.500 0.000 0.000
0.000 0.500 0.000
0.000 0.000 0.500
0.000 0.000 0.000
0.500 0.500 0.500
```

---

Record 15
DFT (PBE-GGA) results for crystalline ZrVAu2 at its relaxed geometry.

Summary:
* ΔH_f (0 K): -0.19 eV per atom
* total magnetization: 3.3 Bohr magnetons per cell
* energy above the most stable polymorph in this dataset: 0 meV per atom
* raw total energy: -24.983 eV per formula unit
* V: 75 Å³ per cell

```
ZrVAu2
1.0
-2.902 -2.864 2.397
-2.349 1.628 3.769
-4.680 0.646 -0.228
Au Zr V
2 1 1
direct
0.250 0.250 0.250
0.750 0.750 0.750
0.500 0.500 0.500
0.000 0.000 0.000
```

---

Record 16
DFT (PBE-GGA) results for crystalline Zr3VAu at its relaxed geometry.

Summary:
* ΔH_f (0 K): 0.53 eV per atom
* total magnetization: 0.0 Bohr magnetons per cell
* energy above the most stable polymorph in this dataset: 0 meV per atom
* raw total energy: -35.412 eV per formula unit
* V: 113 Å³ per cell

```
Zr3VAu
1.0
4.834 0.000 0.000
0.000 4.834 0.000
0.000 0.000 4.834
Au Zr V
1 3 1
direct
0.500 0.500 0.500
0.500 0.000 0.000
0.000 0.500 0.000
0.000 0.000 0.500
0.000 0.000 0.000
```

---

Record 17
DFT (PBE-GGA) results for crystalline ZrV4Au at its relaxed geometry.

Summary:
* ΔH_f (0 K): 0.01 eV per atom
* total magnetization: 0.0 Bohr magnetons per cell
* raw total energy: -48.230 eV per formula unit
* V: 94 Å³ per cell

```
ZrV4Au
1.0
5.103 0.000 0.000
2.551 4.419 0.000
2.551 1.473 4.167
V Au Zr
4 1 1
direct
0.628 0.628 0.628
0.628 0.117 0.628
0.628 0.628 0.117
0.117 0.628 0.628
0.250 0.250 0.250
0.000 0.000 0.000
```

---

Record 18
DFT (PBE-GGA) results for crystalline ZrVAu3 at its relaxed geometry.

Summary:
* ΔH_f (0 K): 0.65 eV per atom
* total magnetization: 0.0 Bohr magnetons per cell
* energy above the most stable polymorph in this dataset: 0 meV per atom
* raw total energy: -24.225 eV per formula unit
* V: 110 Å³ per cell

```
ZrVAu3
1.0
4.798 0.000 0.000
0.000 4.798 0.000
0.000 0.000 4.798
Au V Zr
3 1 1
direct
0.500 0.000 0.000
0.000 0.000 0.500
0.000 0.500 0.000
0.000 0.000 0.000
0.500 0.500 0.500
```

---

Record 19
DFT (PBE-GGA) results for crystalline Zr2VAu2 at its relaxed geometry.

Summary:
* ΔH_f (0 K): -0.19 eV per atom
* total magnetization: 7.1 Bohr magnetons per cell
* raw total energy: -33.739 eV per formula unit
* V: 203 Å³ per cell

```
Zr2VAu2
1.0
7.561 0.000 0.000
0.000 7.561 0.000
0.000 0.000 3.555
Zr Au V
4 4 2
direct
0.827 0.327 0.500
0.173 0.673 0.500
0.673 0.827 0.500
0.327 0.173 0.500
0.869 0.631 0.000
0.369 0.869 0.000
0.131 0.369 0.000
0.631 0.131 0.000
0.500 0.500 0.000
0.000 0.000 0.000
```

---

Record 20
DFT (PBE-GGA) results for crystalline ZrVAu2 at its relaxed geometry.

Summary:
* ΔH_f (0 K): 0.14 eV per atom
* total magnetization: 2.0 Bohr magnetons per cell
* energy above the most stable polymorph in this dataset: 328 meV per atom
* raw total energy: -23.670 eV per formula unit
* V: 154 Å³ per cell

```
ZrVAu2
1.0
-4.971 -2.098 5.263
0.407 -7.116 -2.452
-0.248 -5.087 3.136
Au V Zr
4 2 2
direct
0.875 0.841 0.750
0.591 0.125 0.250
0.159 0.625 0.250
0.375 0.409 0.750
0.500 0.500 0.000
0.250 0.750 0.500
0.750 0.250 0.500
0.000 0.000 0.000
```

---

Record 21
DFT (PBE-GGA) results for crystalline ZrVAu at its relaxed geometry.

Summary:
* ΔH_f (0 K): -0.12 eV per atom
* total magnetization: 0.0 Bohr magnetons per cell
* energy above the most stable polymorph in this dataset: 27 meV per atom
* raw total energy: -21.295 eV per formula unit
* V: 224 Å³ per cell

```
ZrVAu
1.0
-6.308 -1.887 0.634
1.299 -4.223 0.355
0.522 0.798 7.574
Au V Zr
4 4 4
direct
0.783 0.500 0.746
0.217 0.500 0.746
0.717 0.000 0.246
0.283 0.000 0.246
0.168 0.000 0.573
0.332 0.500 0.073
0.668 0.500 0.073
0.832 0.000 0.573
0.500 0.000 0.852
0.000 0.500 0.352
0.000 0.000 0.952
0.500 0.500 0.452
```

---

Record 22
DFT (PBE-GGA) results for crystalline ZrVAu at its relaxed geometry.

Summary:
* ΔH_f (0 K): -0.11 eV per atom
* total magnetization: 0.0 Bohr magnetons per cell
* energy above the most stable polymorph in this dataset: 31 meV per atom
* raw total energy: -21.285 eV per formula unit
* V: 219 Å³ per cell

```
ZrVAu
1.0
5.643 0.000 -0.032
0.000 4.733 0.000
-2.411 0.000 8.220
Au V Zr
4 4 4
direct
0.539 0.500 0.236
0.996 0.000 0.489
0.996 0.500 0.989
0.539 0.000 0.736
0.458 0.000 0.400
0.256 0.000 0.155
0.256 0.500 0.655
0.458 0.500 0.900
0.087 0.000 0.831
0.722 0.000 0.095
0.722 0.500 0.595
0.087 0.500 0.331
```

---

Record 23
DFT (PBE-GGA) results for crystalline ZrVAu at its relaxed geometry.

Summary:
* ΔH_f (0 K): -0.14 eV per atom
* total magnetization: 1.2 Bohr magnetons per cell
* energy above the most stable polymorph in this dataset: 0 meV per atom
* raw total energy: -21.377 eV per formula unit
* V: 217 Å³ per cell

```
ZrVAu
1.0
5.866 0.000 0.140
0.000 4.273 0.000
-3.646 0.000 8.561
Au V Zr
4 4 4
direct
0.024 0.500 0.649
0.681 0.500 0.961
0.681 0.000 0.461
0.024 0.000 0.149
0.191 0.500 0.983
0.191 0.000 0.483
0.345 0.000 0.798
0.345 0.500 0.298
0.878 0.500 0.316
0.878 0.000 0.816
0.496 0.500 0.617
0.496 0.000 0.117
```

---

Record 24
DFT (PBE-GGA) results for crystalline ZrVAu at its relaxed geometry.

Summary:
* ΔH_f (0 K): -0.14 eV per atom
* total magnetization: 0.0 Bohr magnetons per cell
* energy above the most stable polymorph in this dataset: 2 meV per atom
* raw total energy: -21.371 eV per formula unit
* V: 221 Å³ per cell

```
ZrVAu
1.0
4.178 0.000 0.000
0.000 7.648 0.000
0.000 0.000 6.918
Zr Au V
4 4 4
direct
0.250 0.816 0.898
0.750 0.184 0.898
0.750 0.316 0.398
0.250 0.684 0.398
0.750 0.620 0.690
0.750 0.880 0.190
0.250 0.380 0.690
0.250 0.120 0.190
0.750 0.948 0.573
0.250 0.052 0.573
0.750 0.552 0.073
0.250 0.448 0.073
```